Record 1
## Ba3PdRh (PBE)

Data for a relaxed structure of Ba3PdRh.

Properties
DFT formation energy: -0.05 eV per atom
Energy: -0.273 Ry per atom
N(E_F): 4.6 states/eV/f.u.

abc: 5.8767 5.8767 5.8767
angles: 90.00 90.00 90.00
Closest atoms and distances in Å follow each position.
Fractional positions:
Ba1 0.0000 0.0000 0.5000  2 Rh 2.94
Ba2 0.0000 0.5000 0.0000  2 Rh 2.94
Ba3 0.5000 0.0000 0.0000  2 Rh 2.94
Pd1 0.5000 0.5000 0.5000  12 Ba 4.16
Rh1 0.0000 0.0000 0.0000  6 Ba 2.94



Record 2
## K2LaHg2Se4 (PBE)

Data for a relaxed structure of K2LaHg2Se4.

Properties
E_form (uncorrected): -1010 meV/atom
Energy: -0.251 Ry per atom
N(E_F): 3.7 states/eV/f.u.

abc: 8.5901 8.5901 8.3897
angles: 112.52 112.52 29.16
Closest atoms and distances in Å follow each position.
Fractional positions:
K1 0.1261 0.1261 0.0671  7 Se 3.38-3.64, 1 Hg 3.57
K2 0.8739 0.8739 0.9329  7 Se 3.38-3.64, 1 Hg 3.57
La1 0.0000 0.0000 0.5000  6 Se 3.04-3.06
Hg1 0.3091 0.3091 0.4760  3 Se 2.75-2.80, 2 Hg 3.05
Hg2 0.6909 0.6909 0.5240  3 Se 2.75-2.80, 2 Hg 3.05
Se1 0.1946 0.1946 0.7380  2 Hg 2.80, 1 La 3.06
Se2 0.4757 0.4757 0.7324  1 Hg 2.75, 2 La 3.04
Se3 0.5243 0.5243 0.2676  1 Hg 2.75, 2 La 3.04
Se4 0.8054 0.8054 0.2620  2 Hg 2.80, 1 La 3.06



Record 3
## PuPaNiPd (PBE)

Data for a relaxed structure of PuPaNiPd.

Properties
DFT formation energy: -0.48 eV per atom
Energy: -0.674 Ry per atom
N(E_F): 4.1 states/eV/f.u.

abc: 4.6595 4.6595 4.6595
angles: 60.00 60.00 60.00
Closest atoms and distances in Å follow each position.
Fractional positions:
Pu1 0.0000 0.0000 0.0000  4 Pa 2.85, 4 Pd 2.85
Pa1 0.2500 0.2500 0.2500  4 Ni 2.85, 4 Pu 2.85
Ni1 0.5000 0.5000 0.5000  4 Pa 2.85, 4 Pd 2.85
Pd1 0.7500 0.7500 0.7500  4 Ni 2.85, 4 Pu 2.85



Record 4
## Sm5AlZn4 (PBE)

Data for a relaxed structure of Sm5AlZn4.

Properties
DFT formation energy: -0.33 eV per atom
Energy: -0.262 Ry per atom
N(E_F): 11.9 states/eV/f.u.

abc: 3.6301 3.6301 18.4622
angles: 90.00 90.00 90.00
Closest atoms and distances in Å follow each position.
Fractional positions:
Sm1 0.0000 0.0000 0.0000  8 Zn 3.16
Sm2 0.0000 0.0000 0.1984  8 Zn 3.14-3.15
Sm3 0.0000 0.0000 0.3970  4 Zn 3.16, 4 Al 3.19
Sm4 0.0000 0.0000 0.6030  4 Zn 3.16, 4 Al 3.19
Sm5 0.0000 0.0000 0.8016  8 Zn 3.14-3.15
Al1 0.5000 0.5000 0.5000  8 Sm 3.19
Zn1 0.5000 0.5000 0.0996  8 Sm 3.15-3.16
Zn2 0.5000 0.5000 0.2968  8 Sm 3.14-3.16
Zn3 0.5000 0.5000 0.7032  8 Sm 3.14-3.16
Zn4 0.5000 0.5000 0.9004  8 Sm 3.15-3.16



Record 5
## Tc2BiMo (PBE)

Data for a relaxed structure of Tc2BiMo.

Properties
DFT formation energy: 0.92 eV per atom
Energy: -0.583 Ry per atom
N(E_F): 7.0 states/eV/f.u.

abc: 5.9437 5.9437 5.9437
angles: 103.16 103.16 122.99
Closest atoms and distances in Å follow each position.
Fractional positions:
Tc1 0.0744 0.6250 0.9494  2 Mo 2.47
Tc2 0.3750 0.3244 0.4494  2 Mo 2.47
Tc3 0.6756 0.1250 0.0506  2 Mo 2.47
Tc4 0.8750 0.9256 0.5506  2 Mo 2.47
Bi1 0.2500 0.7500 0.5000  2 Mo 2.84, 4 Tc 2.97
Bi2 0.5000 0.5000 0.0000  2 Mo 2.84, 4 Tc 2.97
Mo1 0.0000 0.0000 0.0000  4 Tc 2.47
Mo2 0.7500 0.2500 0.5000  4 Tc 2.47



Record 6
## ZrFe2OsRu (PBE)

Data for a relaxed structure of ZrFe2OsRu.

Properties
DFT formation energy: 2.06 eV per atom
Energy: -0.524 Ry per atom
N(E_F): 6.5 states/eV/f.u.

abc: 4.4512 4.4512 4.8183
angles: 90.00 90.00 90.00
Closest atoms and distances in Å follow each position.
Fractional positions:
Zr1 0.0000 0.0000 0.0000  4 Fe 2.23, 2 Os 2.41
Fe1 0.0000 0.5000 0.0000  2 Zr 2.23
Fe2 0.5000 0.0000 0.0000  2 Zr 2.23
Os1 0.0000 0.0000 0.5000  2 Zr 2.41
Ru1 0.5000 0.5000 0.5000  4 Os 3.15, 8 Fe 3.28



Record 7
## Ba2Hg7 (PBE)

Data for a relaxed structure of Ba2Hg7.

Properties
DFT formation energy: -0.32 eV per atom
Energy: -0.072 Ry per atom
N(E_F): 5.6 states/eV/f.u.

abc: 16.3518 16.3518 16.3518
angles: 22.23 22.23 22.23
Closest atoms and distances in Å follow each position.
Fractional positions:
Ba1 0.0495 0.0495 0.0495  12 Hg 3.65-3.94
Ba2 0.1479 0.1479 0.1479  12 Hg 3.58-3.93
Ba3 0.8521 0.8521 0.8521  12 Hg 3.58-3.93
Ba4 0.9505 0.9505 0.9505  12 Hg 3.65-3.94
Hg1 0.0000 0.5000 0.5000  8 Hg 3.15-3.32
Hg2 0.1057 0.6156 0.6156  7 Hg 3.09-3.25
Hg3 0.2778 0.2778 0.2778  6 Hg 3.22-3.25
Hg4 0.3844 0.3844 0.8943  7 Hg 3.09-3.25
Hg5 0.3844 0.8943 0.3844  7 Hg 3.09-3.25
Hg6 0.3914 0.3914 0.3914  6 Hg 3.19-3.32
Hg7 0.5000 0.0000 0.5000  8 Hg 3.15-3.32
Hg8 0.5000 0.5000 0.0000  8 Hg 3.15-3.32
Hg9 0.5000 0.5000 0.5000  6 Hg 3.19
Hg10 0.6086 0.6086 0.6086  6 Hg 3.19-3.32
Hg11 0.6156 0.1057 0.6156  7 Hg 3.09-3.25
Hg12 0.6156 0.6156 0.1057  7 Hg 3.09-3.25
Hg13 0.7222 0.7222 0.7222  6 Hg 3.22-3.25
Hg14 0.8943 0.3844 0.3844  7 Hg 3.09-3.25



Record 8
## Tb2DyAg5 (PBE)

Data for a relaxed structure of Tb2DyAg5.

Properties
DFT formation energy: -0.24 eV per atom
Energy: -0.276 Ry per atom
N(E_F): 5.5 states/eV/f.u.

abc: 7.9384 7.9384 7.9384
angles: 142.82 142.82 53.60
Closest atoms and distances in Å follow each position.
Fractional positions:
Tb1 0.2342 0.2342 0.0000  9 Ag 3.01-3.32
Tb2 0.7658 0.7658 0.0000  9 Ag 3.01-3.32
Dy1 0.5000 0.5000 0.0000  8 Ag 3.05
Ag1 0.0000 0.0000 0.0000  8 Ag 3.05, 2 Tb 3.32
Ag2 0.1198 0.6198 0.5000  4 Tb 3.01-3.27, 2 Ag 3.05, 2 Dy 3.05
Ag3 0.3802 0.8802 0.5000  4 Tb 3.01-3.27, 2 Dy 3.05, 2 Ag 3.05
Ag4 0.6198 0.1198 0.5000  4 Tb 3.01-3.27, 2 Ag 3.05, 2 Dy 3.05
Ag5 0.8802 0.3802 0.5000  4 Tb 3.01-3.27, 2 Dy 3.05, 2 Ag 3.05



Record 9
## SbAsP2 (PBE)

Data for a relaxed structure of SbAsP2.

Properties
E_form (uncorrected): 640 meV/atom
Energy: -0.313 Ry per atom
N(E_F): 2.1 states/eV/f.u.

abc: 3.3811 4.5850 4.8755
angles: 90.00 90.00 90.00
Closest atoms and distances in Å follow each position.
Fractional positions:
Sb1 0.0000 0.0000 0.0000  4 P 2.85, 4 As 2.97
As1 0.5000 0.0000 0.5000  4 P 2.85, 4 Sb 2.97
P1 0.0000 0.5000 0.5000  4 As 2.85, 4 P 2.97
P2 0.5000 0.5000 0.0000  4 Sb 2.85, 4 P 2.97



Record 10
## Hg5Sb2H2 (PBE)

Data for a relaxed structure of Hg5Sb2H2.

Properties
Energy: -0.124 Ry per atom
N(E_F): 1.9 states/eV/f.u.

abc: 5.0195 6.6052 7.2422
angles: 106.73 100.08 95.76
Closest atoms and distances in Å follow each position.
Fractional positions:
Hg1 0.0000 0.0000 0.0000  2 Sb 2.81, 2 H 3.09
Hg2 0.0176 0.4999 0.2383  2 H 2.93-3.05, 1 Sb 2.99, 2 Hg 3.02-3.24
Hg3 0.4744 0.2722 0.3651  1 Sb 2.96, 3 Hg 3.02-3.18
Hg4 0.5256 0.7278 0.6349  1 Sb 2.96, 3 Hg 3.02-3.18
Hg5 0.9824 0.5001 0.7617  2 H 2.93-3.05, 1 Sb 2.99, 2 Hg 3.02-3.24
Sb1 0.2707 0.1199 0.7299  1 H 1.75
Sb2 0.7293 0.8801 0.2701  1 H 1.75
H1 0.4466 0.7295 0.0854  1 Sb 1.75
H2 0.5534 0.2705 0.9146  1 Sb 1.75



Record 11
## ZrSc2Ta3N6 (PBE)

Data for a relaxed structure of ZrSc2Ta3N6.

Properties
E_form (uncorrected): -1458 meV/atom
Energy: -0.761 Ry per atom
N(E_F): 3.0 states/eV/f.u.

abc: 5.4608 5.4608 5.4998
angles: 99.58 99.58 120.02
Closest atoms and distances in Å follow each position.
Fractional positions:
Zr1 0.0000 0.0000 0.0000  6 N 2.27-2.29
Sc1 0.3338 0.6662 0.0000  6 N 2.25-2.26
Sc2 0.6662 0.3338 0.0000  6 N 2.25-2.26
Ta1 0.1697 0.8303 0.5000  6 N 2.17-2.23
Ta2 0.5000 0.5000 0.5000  6 N 2.19-2.23
Ta3 0.8303 0.1697 0.5000  6 N 2.17-2.23
N1 0.0854 0.4236 0.2566  3 Ta 2.17-2.23, 2 Sc 2.25, 1 Zr 2.27
N2 0.2505 0.2505 0.7390  3 Ta 2.19-2.23, 2 Sc 2.26, 1 Zr 2.29
N3 0.4236 0.0854 0.2566  3 Ta 2.17-2.23, 2 Sc 2.25, 1 Zr 2.27
N4 0.5764 0.9146 0.7434  3 Ta 2.17-2.23, 2 Sc 2.25, 1 Zr 2.27
N5 0.7495 0.7495 0.2610  3 Ta 2.19-2.23, 2 Sc 2.26, 1 Zr 2.29
N6 0.9146 0.5764 0.7434  3 Ta 2.17-2.23, 2 Sc 2.25, 1 Zr 2.27



Record 12
## TaAg3Ir (PBE)

Data for a relaxed structure of TaAg3Ir.

Properties
DFT formation energy: 1.91 eV per atom
Energy: -0.290 Ry per atom
N(E_F): 6.4 states/eV/f.u.

abc: 4.9050 4.9050 4.9050
angles: 90.00 90.00 90.00
Closest atoms and distances in Å follow each position.
Fractional positions:
Ta1 0.0000 0.0000 0.0000  12 Ag 3.47
Ag1 0.0000 0.5000 0.5000  2 Ir 2.45
Ag2 0.5000 0.0000 0.5000  2 Ir 2.45
Ag3 0.5000 0.5000 0.0000  2 Ir 2.45
Ir1 0.5000 0.5000 0.5000  6 Ag 2.45



Question: Which of these has the lowest energy?
Answer: ZrSc2Ta3N6



Question: Among the records above, which one has the highest N(E_F)?
Answer: Sm5AlZn4



Question: Among the records above, which one has the lowest N(E_F)?
Answer: Hg5Sb2H2



What did the third record say?
## PuPaNiPd (PBE)

Data for a relaxed structure of PuPaNiPd.

Properties
DFT formation energy: -0.48 eV per atom
Energy: -0.674 Ry per atom
N(E_F): 4.1 states/eV/f.u.

abc: 4.6595 4.6595 4.6595
angles: 60.00 60.00 60.00
Closest atoms and distances in Å follow each position.
Fractional positions:
Pu1 0.0000 0.0000 0.0000  4 Pa 2.85, 4 Pd 2.85
Pa1 0.2500 0.2500 0.2500  4 Ni 2.85, 4 Pu 2.85
Ni1 0.5000 0.5000 0.5000  4 Pa 2.85, 4 Pd 2.85
Pd1 0.7500 0.7500 0.7500  4 Ni 2.85, 4 Pu 2.85